Version one
First-principles (PBE) data for a relaxed structure of TaCr2, as listed in the Alexandria database.

Properties
* V: 170 Å³ per cell
* symmetry: No. 141
* crystal system: tetragonal

a = 13.662 Å, b = 13.662 Å, c = 13.662 Å
α = 165.05°, β = 165.05°, γ = 21.20°
Positions (direct):
Cr (0.832, 0.332, 0.500)
Cr (0.000, 0.500, 0.500)
Cr (0.418, 0.418, 0.000)
Cr (0.750, 0.750, 0.000)
Cr (0.582, 0.582, 0.000)
Cr (0.668, 0.168, 0.500)
Cr (0.500, 0.000, 0.500)
Cr (0.250, 0.250, 0.000)
Ta (0.919, 0.919, 0.000)
Ta (0.081, 0.081, 0.000)
Ta (0.169, 0.669, 0.500)
Ta (0.331, 0.831, 0.500)

=====

Version two
First-principles (PBE) data for a relaxed structure of TaCr2, as listed in the Alexandria database.

Properties
* V: 136 Å³ per cell
* symmetry: No. 189
* crystal system: hexagonal

a = 6.076 Å, b = 6.076 Å, c = 4.265 Å
α = 90.00°, β = 90.00°, γ = 120.00°
Each line ends with the local moment (μB).
Positions (direct):
Cr (0.520, 0.000, 0.500)  1.63
Cr (0.775, 0.775, 0.000)  -0.35
Cr (0.000, 0.520, 0.500)  1.63
Cr (0.225, 0.000, 0.000)  -0.35
Cr (0.480, 0.480, 0.500)  1.63
Cr (0.000, 0.225, 0.000)  -0.35
Ta (0.000, 0.000, 0.500)  -0.10
Ta (0.667, 0.333, 0.000)  -0.24
Ta (0.333, 0.667, 0.000)  -0.24

=====

Version three
First-principles (PBE) data for a relaxed structure of TaCr2, as listed in the Alexandria database.

Properties
* V: 167 Å³ per cell
* symmetry: No. 194
* crystal system: hexagonal

a = 4.896 Å, b = 4.896 Å, c = 8.046 Å
α = 90.00°, β = 90.00°, γ = 120.00°
Positions (direct):
Ta (0.333, 0.667, 0.060)
Ta (0.333, 0.667, 0.440)
Ta (0.667, 0.333, 0.560)
Ta (0.667, 0.333, 0.940)
Cr (0.000, 0.000, 0.500)
Cr (0.830, 0.170, 0.250)
Cr (0.170, 0.830, 0.750)
Cr (0.000, 0.000, 0.000)
Cr (0.170, 0.340, 0.750)
Cr (0.660, 0.830, 0.750)
Cr (0.830, 0.660, 0.250)
Cr (0.340, 0.170, 0.250)

=====

Version four
First-principles (PBE) data for a relaxed structure of TaCr2, as listed in the Alexandria database.

Properties
* V: 92 Å³ per cell
* symmetry: No. 140
* crystal system: tetragonal

a = 4.934 Å, b = 4.934 Å, c = 4.934 Å
α = 111.11°, β = 111.11°, γ = 106.25°
Each line ends with the local moment (μB).
Positions (direct):
Cr (0.662, 0.162, 0.823)  0.46
Cr (0.338, 0.838, 0.177)  0.46
Cr (0.162, 0.338, 0.500)  0.46
Cr (0.838, 0.662, 0.500)  0.46
Ta (0.250, 0.250, 0.000)  -0.10
Ta (0.750, 0.750, 0.000)  -0.10

=====

Taking the most stable structure as the zero point, the relative energies in meV/atom are version one 408; version two 822; version three 0; version four 973.

=====

Version one
First-principles (PBE) data for a relaxed structure of Ta5Cr, as listed in the Alexandria database.

Properties
* V: 103 Å³ per cell
* symmetry: No. 12
* crystal system: monoclinic

a = 3.228 Å, b = 5.405 Å, c = 6.524 Å
α = 72.82°, β = 90.00°, γ = 107.37°
Positions (direct):
Ta (0.685, 0.370, 0.103)
Ta (0.365, 0.730, 0.265)
Ta (0.370, 0.741, 0.785)
Ta (0.691, 0.381, 0.624)
Ta (0.028, 0.055, 0.444)
Cr (0.028, 0.056, 0.944)

=====

Version two
First-principles (PBE) data for a relaxed structure of Ta5Cr, as listed in the Alexandria database.

Properties
* V: 103 Å³ per cell
* symmetry: No. 65
* crystal system: orthorhombic

a = 3.250 Å, b = 4.630 Å, c = 7.245 Å
α = 108.63°, β = 90.00°, γ = 90.00°
Positions (direct):
Ta (0.500, 0.156, 0.311)
Ta (0.500, 0.500, 0.000)
Ta (0.500, 0.844, 0.689)
Ta (0.000, 0.331, 0.662)
Ta (0.000, 0.669, 0.338)
Cr (0.000, 0.000, 0.000)

=====

Taking the most stable structure as the zero point, the relative energies in meV/atom are version one 0; version two 9.

=====

Version one
First-principles (PBE) data for a relaxed structure of Ta5Cr, as listed in the Alexandria database.

Properties
* V: 111 Å³ per cell
* symmetry: No. 216
* crystal system: cubic

a = 5.393 Å, b = 5.393 Å, c = 5.393 Å
α = 60.00°, β = 60.00°, γ = 60.00°
Each line ends with the local moment (μB).
Positions (direct):
Ta (0.625, 0.125, 0.625)  -0.17
Ta (0.125, 0.625, 0.625)  -0.17
Ta (0.250, 0.250, 0.250)  -0.39
Ta (0.625, 0.625, 0.625)  -0.17
Ta (0.625, 0.625, 0.125)  -0.17
Cr (0.000, 0.000, 0.000)  1.76

=====

Version two
First-principles (PBE) data for a relaxed structure of Ta5Cr, as listed in the Alexandria database.

Properties
* V: 103 Å³ per cell
* symmetry: No. 65
* crystal system: orthorhombic

a = 3.250 Å, b = 7.024 Å, c = 4.651 Å
α = 90.00°, β = 90.00°, γ = 76.62°
Positions (direct):
Ta (0.371, 0.258, 0.000)
Ta (0.528, 0.944, 0.500)
Ta (0.194, 0.612, 0.500)
Ta (0.861, 0.277, 0.500)
Ta (0.685, 0.631, 0.000)
Cr (0.028, 0.944, 0.000)

=====

Taking the most stable structure as the zero point, the relative energies in meV/atom are version one 389; version two 0.

=====

Version one
First-principles (PBE) data for a relaxed structure of Ta5Cr, as listed in the Alexandria database.

Properties
* V: 122 Å³ per cell
* symmetry: No. 191
* crystal system: hexagonal

a = 5.573 Å, b = 5.573 Å, c = 4.539 Å
α = 90.00°, β = 90.00°, γ = 120.00°
Each line ends with the local moment (μB).
Positions (direct):
Cr (0.000, 0.000, 0.000)  3.46
Ta (0.667, 0.333, 0.000)  -0.18
Ta (0.000, 0.500, 0.500)  -0.03
Ta (0.333, 0.667, 0.000)  -0.18
Ta (0.500, 0.500, 0.500)  -0.03
Ta (0.500, 0.000, 0.500)  -0.03

=====

Version two
First-principles (PBE) data for a relaxed structure of Ta5Cr, as listed in the Alexandria database.

Properties
* V: 108 Å³ per cell
* symmetry: No. 189
* crystal system: hexagonal

a = 4.966 Å, b = 4.966 Å, c = 5.042 Å
α = 90.00°, β = 90.00°, γ = 120.00°
Each line ends with the local moment (μB).
Positions (direct):
Ta (0.333, 0.667, 0.500)  -0.09
Ta (0.667, 0.333, 0.500)  -0.09
Ta (0.331, 0.331, 0.000)  0.00
Ta (0.669, 0.000, 0.000)  0.00
Ta (0.000, 0.669, 0.000)  0.00
Cr (0.000, 0.000, 0.500)  2.29

=====

Taking the most stable structure as the zero point, the relative energies in meV/atom are version one 417; version two 0.

=====

Version one
First-principles (PBE) data for a relaxed structure of TaCr5, as listed in the Alexandria database.

Properties
* V: 80 Å³ per cell
* symmetry: No. 191
* crystal system: hexagonal

a = 4.783 Å, b = 4.783 Å, c = 4.038 Å
α = 90.00°, β = 90.00°, γ = 120.00°
Positions (direct):
Cr (0.500, 0.500, 0.500)
Cr (0.667, 0.333, 0.000)
Cr (0.333, 0.667, 0.000)
Cr (0.500, 0.000, 0.500)
Cr (0.000, 0.500, 0.500)
Ta (0.000, 0.000, 0.000)

=====

Version two
First-principles (PBE) data for a relaxed structure of TaCr5, as listed in the Alexandria database.

Properties
* V: 77 Å³ per cell
* symmetry: No. 65
* crystal system: orthorhombic

a = 6.365 Å, b = 6.365 Å, c = 4.172 Å
α = 90.00°, β = 90.00°, γ = 153.09°
Positions (direct):
Ta (0.500, 0.500, 0.500)
Cr (0.825, 0.175, 0.500)
Cr (0.000, 0.000, 0.000)
Cr (0.670, 0.330, 0.000)
Cr (0.175, 0.825, 0.500)
Cr (0.330, 0.670, 0.000)

=====

Taking the most stable structure as the zero point, the relative energies in meV/atom are version one 184; version two 0.

=====

Version one
First-principles (PBE) data for a relaxed structure of Ta4Cr3, as listed in the Alexandria database.

Properties
* V: 109 Å³ per cell
* symmetry: No. 191
* crystal system: hexagonal

a = 4.899 Å, b = 4.899 Å, c = 5.253 Å
α = 90.00°, β = 90.00°, γ = 60.00°
Positions (direct):
Ta (0.000, 0.000, 0.252)
Ta (0.333, 0.333, 0.500)
Ta (0.000, 0.000, 0.748)
Ta (0.667, 0.667, 0.500)
Cr (0.000, 0.500, 0.000)
Cr (0.500, 0.000, 0.000)
Cr (0.500, 0.500, 0.000)

=====

Version two
First-principles (PBE) data for a relaxed structure of Ta4Cr3, as listed in the Alexandria database.

Properties
* V: 108 Å³ per cell
* symmetry: No. 139
* crystal system: tetragonal

a = 11.477 Å, b = 11.477 Å, c = 11.477 Å
α = 164.49°, β = 164.49°, γ = 22.01°
Positions (direct):
Ta (0.849, 0.849, 0.000)
Ta (0.432, 0.432, 0.000)
Ta (0.151, 0.151, 0.000)
Ta (0.568, 0.568, 0.000)
Cr (0.280, 0.280, 0.000)
Cr (0.000, 0.000, 0.000)
Cr (0.720, 0.720, 0.000)

=====

Taking the most stable structure as the zero point, the relative energies in meV/atom are version one 0; version two 86.

=====

Version one
First-principles (PBE) data for a relaxed structure of Ta4CrTc, as listed in the Alexandria database.

Properties
* V: 108 Å³ per cell
* symmetry: No. 216
* crystal system: cubic

a = 5.351 Å, b = 5.351 Å, c = 5.351 Å
α = 60.00°, β = 60.00°, γ = 60.00°
Each line ends with the local moment (μB).
Positions (direct):
Ta (0.375, 0.375, 0.375)  -0.15
Ta (0.375, 0.875, 0.375)  -0.15
Ta (0.375, 0.375, 0.875)  -0.15
Ta (0.875, 0.375, 0.375)  -0.15
Tc (0.750, 0.750, 0.750)  -0.14
Cr (0.000, 0.000, 0.000)  2.92

=====

Version two
First-principles (PBE) data for a relaxed structure of Ta4CrTc, as listed in the Alexandria database.

Properties
* V: 99 Å³ per cell
* symmetry: No. 123
* crystal system: tetragonal

a = 3.175 Å, b = 3.175 Å, c = 9.807 Å
α = 90.00°, β = 90.00°, γ = 90.00°
Positions (direct):
Ta (0.500, 0.500, 0.846)
Ta (0.000, 0.000, 0.339)
Ta (0.000, 0.000, 0.661)
Ta (0.500, 0.500, 0.154)
Tc (0.500, 0.500, 0.500)
Cr (0.000, 0.000, 0.000)

=====

Taking the most stable structure as the zero point, the relative energies in meV/atom are version one 726; version two 0.

=====

Version one
First-principles (PBE) data for a relaxed structure of TaCrTe3, as listed in the Alexandria database.

Properties
* V: 158 Å³ per cell
* symmetry: No. 221
* crystal system: cubic

a = 5.403 Å, b = 5.403 Å, c = 5.403 Å
α = 90.00°, β = 90.00°, γ = 90.00°
Each line ends with the local moment (μB).
Positions (direct):
Te (0.500, 0.000, 0.000)  0.08
Te (0.000, 0.000, 0.500)  0.06
Te (0.000, 0.500, 0.000)  0.11
Cr (0.500, 0.500, 0.500)  -4.31
Ta (0.000, 0.000, 0.000)  -0.25

=====

Version two
First-principles (PBE) data for a relaxed structure of TaCrTe3, as listed in the Alexandria database.

Properties
* V: 133 Å³ per cell
* symmetry: No. 221
* crystal system: cubic

a = 5.100 Å, b = 5.100 Å, c = 5.100 Å
α = 90.00°, β = 90.00°, γ = 90.00°
Each line ends with the local moment (μB).
Positions (direct):
Te (0.500, 0.000, 0.000)  -0.17
Te (0.000, 0.500, 0.000)  -0.21
Te (0.000, 0.000, 0.500)  -0.14
Ta (0.500, 0.500, 0.500)  1.80
Cr (0.000, 0.000, 0.000)  2.83

=====

Taking the most stable structure as the zero point, the relative energies in meV/atom are version one 0; version two 350.

=====

Version one
First-principles (PBE) data for a relaxed structure of TaCr3Te, as listed in the Alexandria database.

Properties
* V: 111 Å³ per cell
* symmetry: No. 221
* crystal system: cubic

a = 4.809 Å, b = 4.809 Å, c = 4.809 Å
α = 90.00°, β = 90.00°, γ = 90.00°
Each line ends with the local moment (μB).
Positions (direct):
Cr (0.000, 0.000, 0.500)  2.71
Cr (0.000, 0.500, 0.000)  3.00
Cr (0.500, 0.000, 0.000)  3.52
Te (0.500, 0.500, 0.500)  -0.12
Ta (0.000, 0.000, 0.000)  -0.73

=====

Version two
First-principles (PBE) data for a relaxed structure of TaCr3Te, as listed in the Alexandria database.

Properties
* V: 109 Å³ per cell
* symmetry: No. 221
* crystal system: cubic

a = 4.771 Å, b = 4.771 Å, c = 4.771 Å
α = 90.00°, β = 90.00°, γ = 90.00°
Each line ends with the local moment (μB).
Positions (direct):
Cr (0.000, 0.000, 0.500)  3.06
Cr (0.000, 0.500, 0.000)  3.02
Cr (0.500, 0.000, 0.000)  2.84
Ta (0.500, 0.500, 0.500)  -1.46
Te (0.000, 0.000, 0.000)  -0.12

=====

Taking the most stable structure as the zero point, the relative energies in meV/atom are version one 0; version two 231.

=====

Version one
First-principles (PBE) data for a relaxed structure of Ta2CrTe2, as listed in the Alexandria database.

Properties
* V: 208 Å³ per cell
* symmetry: No. 127
* crystal system: tetragonal

a = 7.642 Å, b = 7.642 Å, c = 3.570 Å
α = 90.00°, β = 90.00°, γ = 90.00°
Each line ends with the local moment (μB).
Positions (direct):
Te (0.341, 0.159, 0.500)  0.02
Te (0.159, 0.659, 0.500)  0.01
Te (0.659, 0.841, 0.500)  0.02
Te (0.841, 0.341, 0.500)  0.01
Ta (0.363, 0.863, 0.000)  -0.08
Ta (0.863, 0.637, 0.000)  -0.09
Ta (0.637, 0.137, 0.000)  -0.08
Ta (0.137, 0.363, 0.000)  -0.09
Cr (0.000, 0.000, 0.000)  3.52
Cr (0.500, 0.500, 0.000)  3.53

=====

Version two
First-principles (PBE) data for a relaxed structure of Ta2CrTe2, as listed in the Alexandria database.

Properties
* V: 122 Å³ per cell
* symmetry: No. 139
* crystal system: tetragonal

a = 5.351 Å, b = 5.351 Å, c = 5.694 Å
α = 61.97°, β = 61.97°, γ = 90.00°
Each line ends with the local moment (μB).
Positions (direct):
Cr (0.000, 0.000, 0.000)  4.06
Te (0.750, 0.250, 0.500)  0.01
Te (0.250, 0.750, 0.500)  0.01
Ta (0.359, 0.359, 0.281)  0.03
Ta (0.641, 0.641, 0.719)  0.03

=====

Taking the most stable structure as the zero point, the relative energies in meV/atom are version one 0; version two 186.

=====

Version one
First-principles (PBE) data for a relaxed structure of Ta2TiCr, as listed in the Alexandria database.

Properties
* V: 67 Å³ per cell
* symmetry: No. 166
* crystal system: trigonal

a = 3.001 Å, b = 3.001 Å, c = 8.794 Å
α = 80.18°, β = 80.18°, γ = 60.00°
Positions (direct):
Ta (0.742, 0.742, 0.773)
Ta (0.258, 0.258, 0.227)
Cr (0.000, 0.000, 0.000)
Ti (0.500, 0.500, 0.500)

=====

Version two
First-principles (PBE) data for a relaxed structure of Ta2TiCr, as listed in the Alexandria database.

Properties
* V: 138 Å³ per cell
* symmetry: No. 122
* crystal system: tetragonal

a = 7.091 Å, b = 7.091 Å, c = 5.714 Å
α = 51.65°, β = 51.65°, γ = 90.00°
Positions (direct):
Ta (0.375, 0.347, 0.750)
Ta (0.875, 0.903, 0.750)
Ta (0.653, 0.125, 0.250)
Ta (0.097, 0.625, 0.250)
Ti (0.250, 0.750, 0.500)
Ti (0.500, 0.500, 0.000)
Cr (0.750, 0.250, 0.500)
Cr (0.000, 0.000, 0.000)

=====

Taking the most stable structure as the zero point, the relative energies in meV/atom are version one 0; version two 334.

=====

Version one
First-principles (PBE) data for a relaxed structure of Ta2TiCr, as listed in the Alexandria database.

Properties
* V: 64 Å³ per cell
* symmetry: No. 225
* crystal system: cubic

a = 4.496 Å, b = 4.496 Å, c = 4.496 Å
α = 60.00°, β = 60.00°, γ = 60.00°
Positions (direct):
Ta (0.250, 0.250, 0.250)
Ta (0.750, 0.750, 0.750)
Ti (0.000, 0.000, 0.000)
Cr (0.500, 0.500, 0.500)

=====

Version two
First-principles (PBE) data for a relaxed structure of Ta2TiCr, as listed in the Alexandria database.

Properties
* V: 65 Å³ per cell
* symmetry: No. 123
* crystal system: tetragonal

a = 3.126 Å, b = 3.126 Å, c = 6.646 Å
α = 90.00°, β = 90.00°, γ = 90.00°
Positions (direct):
Ti (0.500, 0.500, 0.500)
Cr (0.500, 0.500, 0.000)
Ta (0.000, 0.000, 0.773)
Ta (0.000, 0.000, 0.227)

=====

Taking the most stable structure as the zero point, the relative energies in meV/atom are version one 41; version two 0.